--- A ---
# NaCuAsSe2 GGA-PBE relaxed
data_NaCuAsSe2
_chemical_formula_sum 'Na1 Cu1 As1 Se2'
_space_group_name_H-M_alt 'P 4/m m m'
_space_group_IT_number 123
_space_group_name_Hall '-P 4 2'
_cell_length_a 5.0843
_cell_length_b 5.0843
_cell_length_c 4.9785
_cell_angle_alpha 90.00
_cell_angle_beta 90.00
_cell_angle_gamma 90.00
loop_
_atom_site_label
_atom_site_fract_x
_atom_site_fract_y
_atom_site_fract_z
Na1 0.0000 0.0000 0.0000
Cu1 0.5000 0.5000 0.5000
As1 0.0000 0.0000 0.5000
Se1 0.0000 0.5000 0.0000
# Crystal system: tetragonal
# V, Å³/cell: 129

--- B ---
# NaCuAsSe2 GGA-PBE relaxed
data_NaCuAsSe2
_chemical_formula_sum 'Na1 Cu1 As1 Se2'
_space_group_name_H-M_alt 'P 4/m m m'
_space_group_IT_number 123
_space_group_name_Hall '-P 4 2'
_cell_length_a 5.0543
_cell_length_b 5.0543
_cell_length_c 4.5556
_cell_angle_alpha 90.00
_cell_angle_beta 90.00
_cell_angle_gamma 90.00
loop_
_atom_site_label
_atom_site_fract_x
_atom_site_fract_y
_atom_site_fract_z
Na1 0.0000 0.0000 0.0000
Cu1 0.5000 0.5000 0.5000
As1 0.5000 0.5000 0.0000
Se1 0.0000 0.5000 0.5000
# Crystal system: tetragonal
# V, Å³/cell: 116

--- C ---
# NaCuAsSe2 GGA-PBE relaxed
data_NaCuAsSe2
_chemical_formula_sum 'Na2 Cu2 As2 Se4'
_space_group_name_H-M_alt 'P 1 2/c 1'
_space_group_IT_number 13
_cell_length_a 7.2299
_cell_length_b 3.9342
_cell_length_c 7.9034
_cell_angle_alpha 90.00
_cell_angle_beta 95.82
_cell_angle_gamma 90.00
loop_
_space_group_symop_operation_xyz
'x,y,z'
'-x,-y,-z'
'-x,y,-z+1/2'
'x,-y,z+1/2'
loop_
_atom_site_label
_atom_site_fract_x
_atom_site_fract_y
_atom_site_fract_z
Na1 0.0000 0.0900 0.2500
Cu1 0.5000 0.0000 0.0000
As1 0.5000 0.4908 0.7500
Se1 0.2430 0.4000 0.9778
# Crystal system: monoclinic
# V, Å³/cell: 224

Least stable = A

--- A ---
# NbCu3As GGA-PBE relaxed
data_NbCu3As
_chemical_formula_sum 'Nb1 Cu3 As1'
_space_group_name_H-M_alt 'P m -3 m'
_space_group_IT_number 221
_space_group_name_Hall '-P 4 2 3'
_cell_length_a 4.7481
_cell_length_b 4.7481
_cell_length_c 4.7481
_cell_angle_alpha 90.00
_cell_angle_beta 90.00
_cell_angle_gamma 90.00
loop_
_atom_site_label
_atom_site_fract_x
_atom_site_fract_y
_atom_site_fract_z
Nb1 0.0000 0.0000 0.0000
Cu1 0.0000 0.0000 0.5000
As1 0.5000 0.5000 0.5000
# Crystal system: cubic
# V, Å³/cell: 107

--- B ---
# NbCu3As GGA-PBE relaxed
data_NbCu3As
_chemical_formula_sum 'Nb1 Cu3 As1'
_space_group_name_H-M_alt 'P m -3 m'
_space_group_IT_number 221
_space_group_name_Hall '-P 4 2 3'
_cell_length_a 4.3971
_cell_length_b 4.3971
_cell_length_c 4.3971
_cell_angle_alpha 90.00
_cell_angle_beta 90.00
_cell_angle_gamma 90.00
loop_
_atom_site_label
_atom_site_fract_x
_atom_site_fract_y
_atom_site_fract_z
Nb1 0.0000 0.0000 0.0000
Cu1 0.0000 0.5000 0.5000
As1 0.5000 0.5000 0.5000
# Crystal system: cubic
# V, Å³/cell: 85

Least stable = A